Here is a geometry-optimized ZnCdSe2 structure from the Alexandria database. Energies are from GGA-PBEsol.

Unit cell a=3.341 b=3.341 c=6.966 alpha=90.00 beta=90.00 gamma=90.00
Element x y z (fractional)
Zn 0.000 0.000 0.000
Cd 0.000 0.000 0.500
Se 0.500 0.500 0.233
Se 0.500 0.500 0.767

Summary:
SG = P4/mmm, No. 123
DOS(E_F) = 2.7 states/eV per cell

***

Here is a geometry-optimized ZnCdSe2 structure from the Alexandria database. Energies are from GGA-PBEsol.

Unit cell a=4.803 b=4.803 c=4.803 alpha=60.00 beta=60.00 gamma=60.00
Element x y z (fractional)
Zn 0.000 0.000 0.000
Cd 0.250 0.250 0.250
Se 0.500 0.500 0.500
Se 0.750 0.750 0.750

Summary:
SG = F-43m, No. 216
DOS(E_F) = 1.9 states/eV per cell

***

Here is a geometry-optimized ZnCd2Se2 structure from the Alexandria database. Energies are from GGA-PBEsol.

Unit cell a=7.299 b=7.299 c=7.299 alpha=144.57 beta=144.57 gamma=50.97
Element x y z (fractional)
Zn 0.000 0.000 0.000
Cd 0.250 0.750 0.500
Cd 0.750 0.250 0.500
Se 0.369 0.369 0.000
Se 0.631 0.631 0.000

Summary:
SG = I4/mmm, No. 139

***

Here is a geometry-optimized ZrCdSe structure from the Alexandria database. Energies are from GGA-PBEsol.

Unit cell a=4.636 b=4.636 c=4.636 alpha=60.00 beta=60.00 gamma=60.00
Element x y z (fractional)
Zr 0.000 0.000 0.000
Cd 0.250 0.250 0.250
Se 0.750 0.750 0.750

Summary:
ΔE to the lowest computed polymorph = 12.98 kcal/mol of atoms
SG = F-43m, No. 216
DOS(E_F) = 3.4 states/eV per cell

***

ΔE_f (raw) / eV/f.u.: 0.2 0.8 -0.4 -0.2